1.
DFT (GGA-PBE) results for a geometry-optimized NaLi2GeI6 structure.

CIF file:
```
data_NaLi2GeI6
_cell_length_a 15.4568
_cell_length_b 15.0514
_cell_length_c 6.9972
_cell_angle_alpha 90.00
_cell_angle_beta 95.80
_cell_angle_gamma 90.00
_symmetry_space_group_name_H-M 'C 1 2/c 1'
_symmetry_Int_Tables_number 15
_symmetry_space_group_name_Hall '-C 2yc'
loop_
_atom_site_label
_atom_site_type_symbol
_atom_site_fract_x
_atom_site_fract_y
_atom_site_fract_z
Na1 Na 0.0000 0.0786 0.2500
Li1 Li 0.2359 0.3756 0.0505
Ge1 Ge 0.0000 0.2194 0.7500
I1 I 0.1142 0.0938 0.6300
I2 I 0.1288 0.2269 0.1110
I3 I 0.1458 0.4930 0.7760
```

Properties
Energy, eV/atom: -2.64
Formation energy (no corrections), eV/atom: -0.734
Total moment, μB/atom: 0.00
Fermi-level density of states, states/eV/f.u.: 1.9

---

2.
DFT (GGA-PBE) results for a geometry-optimized Na2LiGeI structure.

CIF file:
```
data_Na2LiGeI
_cell_length_a 5.5681
_cell_length_b 5.5681
_cell_length_c 6.1860
_cell_angle_alpha 90.00
_cell_angle_beta 90.00
_cell_angle_gamma 90.00
_symmetry_space_group_name_H-M 'P 4/m m m'
_symmetry_Int_Tables_number 123
_symmetry_space_group_name_Hall '-P 4 2'
loop_
_atom_site_label
_atom_site_type_symbol
_atom_site_fract_x
_atom_site_fract_y
_atom_site_fract_z
Na1 Na 0.0000 0.5000 0.0000
Li1 Li 0.0000 0.0000 0.5000
Ge1 Ge 0.5000 0.5000 0.0000
I1 I 0.5000 0.5000 0.5000
```

Properties
Energy, eV/atom: -2.08
Formation energy (no corrections), eV/atom: 0.068
Total moment, μB/atom: 0.00
Fermi-level density of states, states/eV/f.u.: 2.8

---

3.
DFT (GGA-PBE) results for a geometry-optimized LiGeIO2 structure.

CIF file:
```
data_LiGeIO2
_cell_length_a 3.7426
_cell_length_b 3.7426
_cell_length_c 6.3127
_cell_angle_alpha 90.00
_cell_angle_beta 90.00
_cell_angle_gamma 90.00
_symmetry_space_group_name_H-M 'P 4/m m m'
_symmetry_Int_Tables_number 123
_symmetry_space_group_name_Hall '-P 4 2'
loop_
_atom_site_label
_atom_site_type_symbol
_atom_site_fract_x
_atom_site_fract_y
_atom_site_fract_z
Li1 Li 0.0000 0.0000 0.0000
Ge1 Ge 0.5000 0.5000 0.5000
I1 I 0.5000 0.5000 0.0000
O1 O 0.0000 0.5000 0.5000
```

Properties
Excess energy over the best structure of this formula in the dataset, meV per atom: 0.0
Energy, eV/atom: -4.47
Formation energy (no corrections), eV/atom: -0.866
Total moment, μB/atom: 0.00
Fermi-level density of states, states/eV/f.u.: 1.3

---

4.
DFT (GGA-PBE) results for a geometry-optimized LiGeI2O structure.

CIF file:
```
data_LiGeI2O
_cell_length_a 5.8989
_cell_length_b 5.8989
_cell_length_c 3.7920
_cell_angle_alpha 90.00
_cell_angle_beta 90.00
_cell_angle_gamma 90.00
_symmetry_space_group_name_H-M 'P 4/m m m'
_symmetry_Int_Tables_number 123
_symmetry_space_group_name_Hall '-P 4 2'
loop_
_atom_site_label
_atom_site_type_symbol
_atom_site_fract_x
_atom_site_fract_y
_atom_site_fract_z
Li1 Li 0.0000 0.0000 0.0000
Ge1 Ge 0.5000 0.5000 0.5000
I1 I 0.0000 0.5000 0.5000
O1 O 0.5000 0.5000 0.0000
```

Properties
Excess energy over the best structure of this formula in the dataset, meV per atom: 0.0
Energy, eV/atom: -3.53
Formation energy (no corrections), eV/atom: -0.608
Total moment, μB/atom: 0.00
Fermi-level density of states, states/eV/f.u.: 0.9